In2BiI | PBE | optimized geometry

a b c (Å): 5.891 5.891 3.709
angles (deg): 90.00 90.00 90.00
Space group P4/mmm (No. 123)
Asymmetric unit:
1 In 0.000 0.500 0.000 (multiplicity 2)
2 Bi 0.000 0.000 0.500 (multiplicity 1)
3 I 0.500 0.500 0.500 (multiplicity 1)

Summary:
V: 32.18 Å³/atom
ΔE_f (raw): -0.29 eV/f.u.
M_tot: 0.000 μB/f.u.
E: -2.799 eV per atom